A geometry-optimized ReSOF2 structure. Source: Alexandria via LeMat-Bulk, functional PBE.

Summary:
ΔE to the lowest computed polymorph	987	meV/atom
formation energy without anion corrections	0.5393	eV per atom
spin magnetization	4.89	μB/cell
N(E_F)	2.279	states/eV/f.u.
uncorrected energy	-4.52	eV per atom
theoretical density	5.94	Mg/m³

a b c (Å): 4.764 4.764 3.355
angles (deg): 90.00 90.00 90.00
Last column: magnetic moment on the atom in μB.
Sites, in units of the cell vectors:
1 F 0.000 0.500 0.000  0.05
2 F 0.500 0.000 0.000  0.05
3 Re 0.500 0.500 0.500  4.00
4 O 0.000 0.000 0.500  0.02
5 S 0.000 0.000 0.000  -0.01


A geometry-optimized TlGa3Te structure. Source: Alexandria via LeMat-Bulk, functional PBE.

Summary:
ΔE to the lowest computed polymorph	0	meV/atom
formation energy without anion corrections	0.3742	eV per atom
spin magnetization	0.00	μB/cell
N(E_F)	1.394	states/eV/f.u.
uncorrected energy	-2.54	eV per atom
theoretical density	5.77	Mg/m³

a b c (Å): 5.379 5.379 5.379
angles (deg): 90.00 90.00 90.00
Sites, in units of the cell vectors:
1 Ga 0.500 0.000 0.000
2 Ga 0.000 0.500 0.000
3 Ga 0.000 0.000 0.500
4 Tl 0.000 0.000 0.000
5 Te 0.500 0.500 0.500


A geometry-optimized Cr3Fe4 structure. Source: Alexandria via LeMat-Bulk, functional PBE.

Summary:
formation energy	0.077	eV per atom
spin magnetization	7.90	μB/cell
N(E_F)	7.902	states/eV/f.u.
uncorrected energy	-8.88	eV per atom
theoretical density	7.86	Mg/m³

a b c (Å): 2.863 2.863 9.988
angles (deg): 98.24 98.24 90.00
Last column: magnetic moment on the atom in μB.
Sites, in units of the cell vectors:
1 Fe 0.857 0.857 0.714  2.17
2 Fe 0.429 0.429 0.857  2.12
3 Fe 0.143 0.143 0.286  2.17
4 Fe 0.571 0.571 0.143  2.12
5 Cr 0.716 0.716 0.431  -0.05
6 Cr 0.000 0.000 0.000  -0.47
7 Cr 0.284 0.284 0.569  -0.05


A geometry-optimized CaAcGe2Ir2 structure. Source: Alexandria via LeMat-Bulk, functional PBE.

Summary:
formation energy	-0.684	eV per atom
spin magnetization	0.00	μB/cell
N(E_F)	3.289	states/eV/f.u.
uncorrected energy	-6.19	eV per atom
theoretical density	9.61	Mg/m³

a b c (Å): 4.263 4.263 8.745
angles (deg): 90.00 90.00 120.00
Sites, in units of the cell vectors:
1 Ge 0.333 0.667 0.269
2 Ge 0.667 0.333 0.731
3 Ac 0.000 0.000 0.000
4 Ca 0.000 0.000 0.500
5 Ir 0.667 0.333 0.246
6 Ir 0.333 0.667 0.754


A geometry-optimized YTa2ZnSe structure. Source: Alexandria via LeMat-Bulk, functional PBE.

Summary:
formation energy without anion corrections	0.5371	eV per atom
spin magnetization	0.00	μB/cell
N(E_F)	3.207	states/eV/f.u.
uncorrected energy	-6.45	eV per atom
theoretical density	8.73	Mg/m³

a b c (Å): 4.796 4.921 4.796
angles (deg): 90.00 90.00 90.00
Sites, in units of the cell vectors:
1 Zn 0.000 0.500 0.000
2 Y 0.500 0.500 0.500
3 Ta 0.000 0.000 0.500
4 Ta 0.500 0.000 0.000
5 Se 0.000 0.000 0.000


A geometry-optimized ScPt2Cl structure. Source: Alexandria via LeMat-Bulk, functional PBE.

Summary:
ΔE to the lowest computed polymorph	198	meV/atom
formation energy without anion corrections	-0.6317	eV per atom
spin magnetization	0.00	μB/cell
N(E_F)	2.662	states/eV/f.u.
uncorrected energy	-5.70	eV per atom
theoretical density	10.02	Mg/m³

a b c (Å): 2.980 2.980 8.787
angles (deg): 90.00 90.00 90.06
Sites, in units of the cell vectors:
1 Pt 0.000 0.000 0.061
2 Pt 0.500 0.500 0.281
3 Cl 0.500 0.500 0.672
4 Sc 0.000 0.000 0.487


A geometry-optimized SrInAs2S8 structure. Source: Alexandria via LeMat-Bulk, functional PBE.

Summary:
formation energy without anion corrections	-0.3275	eV per atom
spin magnetization	0.02	μB/cell
N(E_F)	12.727	states/eV/f.u.
uncorrected energy	-4.22	eV per atom
theoretical density	3.48	Mg/m³

a b c (Å): 6.085 6.085 9.069
angles (deg): 90.00 90.00 120.00
Sites, in units of the cell vectors:
1 Sr 0.000 0.000 0.000
2 In 0.000 0.000 0.500
3 S 0.687 0.668 0.694
4 S 0.668 0.981 0.306
5 S 0.313 0.332 0.306
6 S 0.019 0.687 0.306
7 S 0.333 0.667 0.993
8 S 0.981 0.313 0.694
9 S 0.332 0.019 0.694
10 S 0.667 0.333 0.007
11 As 0.333 0.667 0.753
12 As 0.667 0.333 0.247


A geometry-optimized KZr2Au structure. Source: Alexandria via LeMat-Bulk, functional PBE.

Summary:
ΔE to the lowest computed polymorph	617	meV/atom
formation energy	0.577	eV per atom
spin magnetization	0.00	μB/cell
N(E_F)	4.344	states/eV/f.u.
uncorrected energy	-4.79	eV per atom
theoretical density	7.22	Mg/m³

a b c (Å): 6.297 6.297 2.911
angles (deg): 90.00 90.00 123.49
Sites, in units of the cell vectors:
1 K 0.000 0.500 0.500
2 Zr 0.000 0.000 0.000
3 Zr 0.500 0.500 0.000
4 Au 0.500 0.000 0.500